Entry 1:
First-principles (GGA-PBEsol) data for a relaxed Zr2V3Fe crystal, as listed in Alexandria.

Computed properties:
Density of states at the Fermi level (states/eV per cell): 6.3
Crystal system: trigonal
Space-group type: R-3m, No. 166
Formation energy (meV per atom): -144
Size of the total moment (μB per formula unit): 0.0

Unit cell a=4.965 b=4.965 c=4.965 alpha=62.55 beta=62.55 gamma=62.55
Sites, in units of the cell vectors:
Zr  0.626  0.626  0.626
Zr  0.374  0.374  0.374
V  0.000  0.500  0.000
V  0.000  0.000  0.500
V  0.500  0.000  0.000
Fe  0.000  0.000  0.000

---

Entry 2:
First-principles (GGA-PBEsol) data for a relaxed Fe3W crystal, as listed in Alexandria.

Computed properties:
Density of states at the Fermi level (states/eV per cell): 5.3
Crystal system: cubic
Space-group type: Pm-3m, No. 221
Formation energy (meV per atom): 2411
Size of the total moment (μB per formula unit): 4.7

Unit cell a=4.467 b=4.467 c=4.467 alpha=90.00 beta=90.00 gamma=90.00
Sites, in units of the cell vectors:
Fe  0.500  0.000  0.000
Fe  0.000  0.500  0.000
Fe  0.000  0.000  0.500
W  0.000  0.000  0.000